No. 1
Compound: TmAuS2
Source: the Alexandria database
Functional: PBE-GGA
Structure: relaxed

CIF file:
```
data_TmAuS2
_cell_length_a 4.053
_cell_length_b 4.053
_cell_length_c 7.729
_cell_angle_alpha 74.80
_cell_angle_beta 74.80
_cell_angle_gamma 60.00
_symmetry_space_group_name_H-M 'P 1'
_symmetry_Int_Tables_number 1
_symmetry_space_group_name_Hall 'P 1'
loop_
_atom_site_label
_atom_site_type_symbol
_atom_site_fract_x
_atom_site_fract_y
_atom_site_fract_z
_atom_site_occupancy
S1 S 0.896 0.896 0.313 1
S2 S 0.104 0.104 0.687 1
Tm1 Tm 0.500 0.500 0.500 1
Au1 Au 0.000 0.000 0.000 1
```

Properties
Its space group is No. 166. The spin magnetization is 0.000 μB/atom. Its formation energy without anion corrections is -1.30 eV per atom. For the volume, the calculation gives 26.20 Å³/atom.

No. 2
Compound: Tm2AuS
Source: the Alexandria database
Functional: PBE-GGA
Structure: relaxed

CIF file:
```
data_Tm2AuS
_cell_length_a 3.814
_cell_length_b 3.814
_cell_length_c 7.530
_cell_angle_alpha 75.33
_cell_angle_beta 75.33
_cell_angle_gamma 60.00
_symmetry_space_group_name_H-M 'P 1'
_symmetry_Int_Tables_number 1
_symmetry_space_group_name_Hall 'P 1'
loop_
_atom_site_label
_atom_site_type_symbol
_atom_site_fract_x
_atom_site_fract_y
_atom_site_fract_z
_atom_site_occupancy
Tm1 Tm 0.255 0.255 0.235 1
Tm2 Tm 0.745 0.745 0.765 1
Au1 Au 0.500 0.500 0.500 1
S1 S 0.000 0.000 0.000 1
```

Properties
Its space group is No. 166. The spin magnetization is 0.000 μB/atom. Its formation energy without anion corrections is -1.35 eV per atom. For the volume, the calculation gives 22.68 Å³/atom. For the relative energy among the computed polymorphs, the calculation gives 1.28 kcal/mol of atoms.